SrAlN2F: optimized geometry, GGA-PBE.

For the energy above the lowest structure with this stoichiometry, the calculation gives 0 meV/atom. Its density of states at the Fermi level is 0.091 states/eV/atom. Its space group is P4/mmm (123).

abc: 3.765 3.765 4.364
angles: 90.00 90.00 90.00
Positions (direct):
Al (0.000, 0.000, 0.000)
F (0.000, 0.000, 0.500)
Sr (0.500, 0.500, 0.500)
N (0.500, 0.000, 0.000)
N (0.000, 0.500, 0.000)